Record 1
Material: Cu2Ag3
Method: DFT, PBE-GGA
State: relaxed

Properties
relative energy among the computed polymorphs = 0.058 eV per atom
crystal system = triclinic

Cell: 4.856 4.887 7.347 Å, 107.92 103.32 99.93°
Space group P1 (No. 1)
One atom of each set of equivalent atoms:
Cu 0.000 0.000 0.000 (multiplicity 1)
Cu 0.089 0.192 0.713 (multiplicity 1)
Cu 0.275 0.576 0.092 (multiplicity 1)
Cu 0.559 0.186 0.191 (multiplicity 1)
Ag 0.167 0.386 0.384 (multiplicity 1)
Ag 0.386 0.786 0.814 (multiplicity 1)
Ag 0.473 0.995 0.495 (multiplicity 1)
Ag 0.694 0.379 0.904 (multiplicity 1)
Ag 0.789 0.598 0.602 (multiplicity 1)
Ag 0.861 0.796 0.286 (multiplicity 1)

Record 2
Material: FeSiPH23AuC15Cl
Method: DFT, PBE-GGA
State: relaxed

Properties
raw total energy = -490.92 eV for the cell shown
magnetic moment = 0.00 μB/f.u.
crystal system = triclinic

Cell: 7.468 9.665 12.951 Å, 77.02 81.99 81.24°
Space group P-1 (No. 2)
One atom of each set of equivalent atoms:
Fe 0.040 0.171 0.292 (multiplicity 2)
Si 0.173 0.761 0.935 (multiplicity 2)
P 0.451 0.319 0.672 (multiplicity 2)
H 0.011 0.302 0.888 (multiplicity 2)
H 0.084 0.262 0.479 (multiplicity 2)
H 0.090 0.129 0.960 (multiplicity 2)
H 0.094 0.873 0.375 (multiplicity 2)
H 0.113 0.969 0.161 (multiplicity 2)
H 0.117 0.413 0.133 (multiplicity 2)
H 0.144 0.283 0.996 (multiplicity 2)
H 0.184 0.968 0.534 (multiplicity 2)
H 0.211 0.522 0.888 (multiplicity 2)
H 0.235 0.692 0.290 (multiplicity 2)
H 0.326 0.516 0.001 (multiplicity 2)
H 0.331 0.513 0.341 (multiplicity 2)
H 0.334 0.091 0.735 (multiplicity 2)
H 0.342 0.772 0.690 (multiplicity 2)
H 0.348 0.808 0.451 (multiplicity 2)
H 0.363 0.098 0.389 (multiplicity 2)
H 0.383 0.192 0.175 (multiplicity 2)
H 0.392 0.158 0.841 (multiplicity 2)
H 0.395 0.597 0.207 (multiplicity 2)
H 0.419 0.628 0.514 (multiplicity 2)
H 0.422 0.592 0.871 (multiplicity 2)
H 0.427 0.242 0.510 (multiplicity 2)
H 0.432 0.922 0.243 (multiplicity 2)
Au 0.185 0.476 0.676 (multiplicity 2)
C 0.004 0.960 0.332 (multiplicity 2)
C 0.013 0.010 0.219 (multiplicity 2)
C 0.037 0.239 0.968 (multiplicity 2)
C 0.044 0.380 0.311 (multiplicity 2)
C 0.127 0.274 0.394 (multiplicity 2)
C 0.132 0.873 0.803 (multiplicity 2)
C 0.145 0.354 0.212 (multiplicity 2)
C 0.145 0.956 0.619 (multiplicity 2)
C 0.228 0.854 0.702 (multiplicity 2)
C 0.276 0.187 0.347 (multiplicity 2)
C 0.287 0.236 0.234 (multiplicity 2)
C 0.293 0.580 0.923 (multiplicity 2)
C 0.359 0.615 0.288 (multiplicity 2)
C 0.436 0.145 0.759 (multiplicity 2)
C 0.464 0.723 0.458 (multiplicity 2)
Cl 0.359 0.856 0.999 (multiplicity 2)

Record 3
Material: NaHfAuS3
Method: DFT, PBE-GGA
State: relaxed

Properties
relative energy among the computed polymorphs = 0.000 eV per atom
magnetic moment = 0.00 μB/f.u.
crystal system = monoclinic

Cell: 7.524 3.756 9.295 Å, 90.00 105.37 90.00°
Space group P2_1/m (No. 11)
One atom of each set of equivalent atoms:
Na 0.246 0.250 0.206 (multiplicity 2)
Hf 0.184 0.750 0.662 (multiplicity 2)
Au 0.402 0.250 0.894 (multiplicity 2)
S 0.065 0.750 0.370 (multiplicity 2)
S 0.195 0.750 0.939 (multiplicity 2)
S 0.405 0.250 0.631 (multiplicity 2)

Record 4
Material: Pr2ZnSb4
Method: DFT, PBE-GGA
State: relaxed

Properties
raw total energy = -32.45 eV for the cell shown
magnetic moment = 0.00 μB/f.u.
crystal system = tetragonal

Cell: 4.419 4.419 10.131 Å, 90.00 90.00 90.00°
Space group P-4m2 (No. 115)
One atom of each set of equivalent atoms:
Pr 0.000 0.500 0.249 (multiplicity 2)
Zn 0.500 0.500 0.000 (multiplicity 1)
Sb 0.000 0.000 0.500 (multiplicity 1)
Sb 0.000 0.500 0.847 (multiplicity 2)
Sb 0.500 0.500 0.500 (multiplicity 1)